[1]
PaReOs | PBE-GGA | relaxed

abc: 6.340 6.340 6.340
angles: 90.00 90.00 90.00
Fractional coordinates of all 12 atoms:
Pa (0.000, 0.000, 0.000)
Pa (0.000, 0.500, 0.500)
Pa (0.500, 0.000, 0.500)
Pa (0.500, 0.500, 0.000)
Re (0.000, 0.000, 0.500)
Re (0.000, 0.500, 0.000)
Re (0.500, 0.000, 0.000)
Re (0.500, 0.500, 0.500)
Os (0.250, 0.250, 0.250)
Os (0.250, 0.750, 0.750)
Os (0.750, 0.250, 0.750)
Os (0.750, 0.750, 0.250)

## Properties
The calculation puts the final energy at -126.8 eV per cell. For the excess energy over the best structure of this formula in the dataset, the calculation gives 0 meV per atom. Its symmetry is F-43m (216). The formation energy comes out at 0.478 eV per atom.

=====

[2]
Cu9Se8 | PBE-GGA | relaxed

abc: 7.703 7.703 7.703
angles: 60.00 60.00 60.00
Fractional coordinates of all 17 atoms:
Cu (0.000, 0.000, 0.000)
Cu (0.123, 0.626, 0.626)
Cu (0.374, 0.374, 0.374)
Cu (0.374, 0.374, 0.877)
Cu (0.374, 0.877, 0.374)
Cu (0.626, 0.123, 0.626)
Cu (0.626, 0.626, 0.123)
Cu (0.626, 0.626, 0.626)
Cu (0.877, 0.374, 0.374)
Se (0.239, 0.239, 0.761)
Se (0.239, 0.761, 0.239)
Se (0.239, 0.761, 0.761)
Se (0.250, 0.250, 0.250)
Se (0.750, 0.750, 0.750)
Se (0.761, 0.239, 0.239)
Se (0.761, 0.239, 0.761)
Se (0.761, 0.761, 0.239)

## Properties
The calculation puts the final energy at -63.3 eV per cell. Its symmetry is Fm-3m (225).

=====

Number 2 is which compound?
Cu9Se8